1.
A relaxed structure of Na8TlHg3. Source: Alexandria via LeMat-Bulk, functional PBE.

Unit cell a=9.171 b=9.143 c=7.333 alpha=66.60 beta=66.19 gamma=47.21
Sites, in units of the cell vectors:
Na  0.123  0.625  0.877
Na  0.124  0.626  0.374
Na  0.374  0.876  0.124
Na  0.375  0.877  0.625
Na  0.625  0.123  0.375
Na  0.626  0.124  0.876
Na  0.876  0.374  0.626
Na  0.877  0.375  0.123
Tl  0.500  0.500  0.500
Hg  0.000  0.000  0.000
Hg  0.250  0.250  0.250
Hg  0.750  0.750  0.750

Calculated values
magnetization = 0.0 μB/cell
SG = No. 69
DFT formation energy = -83 meV/atom
final energy = -14.822 eV per cell
N(E_F) = 0.400 states/eV/atom

---

2.
A relaxed structure of NaTl2Hg2. Source: Alexandria via LeMat-Bulk, functional PBE.

Unit cell a=4.098 b=18.338 c=3.804 alpha=90.00 beta=90.00 gamma=90.00
Sites, in units of the cell vectors:
Na  0.000  0.000  0.000
Na  0.500  0.500  0.000
Tl  0.000  0.182  0.000
Tl  0.000  0.818  0.000
Tl  0.500  0.318  0.000
Tl  0.500  0.682  0.000
Hg  0.000  0.409  0.500
Hg  0.000  0.591  0.500
Hg  0.500  0.091  0.500
Hg  0.500  0.909  0.500

Calculated values
magnetization = 0.0 μB/cell
ΔE to the lowest computed polymorph = 7 kJ/mol of formula units
SG = No. 65
DFT formation energy = -89 meV/atom
final energy = -14.200 eV per cell
N(E_F) = 0.429 states/eV/atom

---

3.
A relaxed structure of Na3TlHg3. Source: Alexandria via LeMat-Bulk, functional PBE.

Unit cell a=6.574 b=6.574 c=9.607 alpha=90.98 beta=90.98 gamma=105.36
Sites, in units of the cell vectors:
Na  0.173  0.827  0.000
Na  0.226  0.774  0.500
Na  0.428  0.428  0.185
Na  0.572  0.572  0.815
Na  0.774  0.226  0.500
Na  0.827  0.173  0.000
Tl  0.299  0.299  0.542
Tl  0.701  0.701  0.458
Hg  0.038  0.488  0.765
Hg  0.047  0.047  0.272
Hg  0.488  0.038  0.765
Hg  0.512  0.962  0.235
Hg  0.953  0.953  0.728
Hg  0.962  0.512  0.235

Calculated values
magnetization = 0.0 μB/cell
ΔE to the lowest computed polymorph = 10 kJ/mol of formula units
SG = No. 12
DFT formation energy = -158 meV/atom
final energy = -16.667 eV per cell
N(E_F) = 0.461 states/eV/atom

---

4.
A relaxed structure of Na3Tl6Hg2. Source: Alexandria via LeMat-Bulk, functional PBE.

Unit cell a=6.011 b=6.171 c=9.584 alpha=90.17 beta=96.23 gamma=114.64
Sites, in units of the cell vectors:
Na  0.000  0.000  0.000
Na  0.193  0.215  0.356
Na  0.807  0.785  0.644
Tl  0.260  0.742  0.482
Tl  0.288  0.297  0.716
Tl  0.397  0.835  0.846
Tl  0.603  0.165  0.154
Tl  0.712  0.703  0.284
Tl  0.740  0.258  0.518
Hg  0.166  0.592  0.139
Hg  0.834  0.408  0.861

Calculated values
magnetization = 0.0 μB/cell
SG = No. 2
DFT formation energy = -75 meV/atom
final energy = -19.587 eV per cell
N(E_F) = 0.382 states/eV/atom